No. 1
The following is a PBE-GGA calculation of crystalline RbBa2SrBr at its relaxed geometry, from Alexandria.

Computed properties:
DFT total energy = -2.126 eV/atom
Energy relative to the elements, uncorrected = -0.4928 eV/atom
Total moment = 0.00 Bohr magnetons per cell
Fermi-level density of states = 1.3797 states/eV/atom

```
RbBa2SrBr
1.0
6.6412 0.0000 0.0000
0.0000 6.6412 0.0000
0.0000 0.0000 6.7371
Rb Ba Sr Br
1 2 1 1
Cartesian
0.0000 0.0000 0.0000
0.0000 3.3206 3.3686
3.3206 0.0000 3.3686
3.3206 3.3206 0.0000
0.0000 0.0000 3.3686
```


No. 2
The following is a PBE-GGA calculation of crystalline Rb2BaSrBr6 at its relaxed geometry, from Alexandria.

Computed properties:
DFT total energy = -3.552 eV/atom
Energy relative to the elements, uncorrected = -1.9945 eV/atom
Energy above the lowest structure with this stoichiometry = 0 meV per atom
Total moment = 0.00 Bohr magnetons per cell
Fermi-level density of states = 0.0000 states/eV/atom

```
Rb2BaSrBr6
1.0
8.2698 0.0000 0.0000
0.0000 8.6903 0.0000
-8.1951 0.0000 11.7416
Rb Ba Sr Br
4 2 2 12
Cartesian
-0.2018 0.6262 2.9308
-4.2994 3.7189 8.8016
4.3740 4.9714 2.9400
0.2765 8.0641 8.8108
4.1349 0.0000 0.0000
0.0373 4.3451 5.8708
-4.0976 0.0000 5.8708
0.0000 4.3451 0.0000
-6.6270 1.8131 10.9496
-2.5294 2.5320 5.0788
-5.7611 6.0493 10.9846
-1.6635 6.9862 5.1138
-3.0333 0.4301 8.7119
1.0643 3.9150 2.8411
-0.9896 4.7753 8.9005
3.1079 8.2602 3.0297
1.7382 1.7041 6.6278
5.8358 2.6410 0.7570
2.6041 6.1583 6.6627
6.7017 6.8772 0.7919
```


No. 3
The following is a PBE-GGA calculation of crystalline Rb2BaSrBr6 at its relaxed geometry, from Alexandria.

Computed properties:
DFT total energy = -3.483 eV/atom
Energy relative to the elements, uncorrected = -1.9249 eV/atom
Energy above the lowest structure with this stoichiometry = 70 meV per atom
Total moment = 0.00 Bohr magnetons per cell
Fermi-level density of states = 0.0000 states/eV/atom

```
Rb2BaSrBr6
1.0
0.0000 6.1601 6.1601
6.1601 0.0000 6.1601
6.1601 6.1601 0.0000
Rb Ba Sr Br
2 1 1 6
Cartesian
3.0801 3.0801 3.0801
9.2402 9.2402 9.2402
0.0000 0.0000 0.0000
6.1601 6.1601 6.1601
6.1601 6.1601 3.1554
6.1601 3.1554 6.1601
9.1648 6.1601 6.1601
3.1554 6.1601 6.1601
6.1601 9.1648 6.1601
6.1601 6.1601 9.1648
```


No. 4
The following is a PBE-GGA calculation of crystalline RbBa2TbBr8 at its relaxed geometry, from Alexandria.

Computed properties:
DFT total energy = -3.890 eV/atom
Energy relative to the elements, uncorrected = -1.9874 eV/atom
Total moment = 0.00 Bohr magnetons per cell
Fermi-level density of states = 0.0000 states/eV/atom

```
RbBa2TbBr8
1.0
7.1074 0.0000 0.0000
0.0000 9.9898 0.0000
-0.0552 0.0000 7.2782
Rb Ba Tb Br
1 2 1 8
Cartesian
0.0000 0.0000 0.0000
3.5261 2.5614 3.6391
3.5261 7.4284 3.6391
0.0000 4.9949 0.0000
1.5619 2.9448 6.2124
1.5619 7.0450 6.2124
1.6684 4.9949 2.3483
1.7663 0.0000 2.8715
5.2858 0.0000 4.4067
5.3837 4.9949 4.9299
5.4902 2.9448 1.0658
5.4902 7.0450 1.0658
```


No. 5
The following is a PBE-GGA calculation of crystalline Rb2BaTcBr6 at its relaxed geometry, from Alexandria.

Computed properties:
DFT total energy = -3.661 eV/atom
Energy relative to the elements, uncorrected = -1.2353 eV/atom
Total moment = 1.00 Bohr magnetons per cell
Fermi-level density of states = 0.7803 states/eV/atom

```
Rb2BaTcBr6
1.0
0.0000 5.7067 5.7067
5.7067 0.0000 5.7067
5.7067 5.7067 0.0000
Rb Ba Tc Br
2 1 1 6
Cartesian
2.8533 2.8533 2.8533
8.5600 8.5600 8.5600
0.0000 0.0000 0.0000
5.7067 5.7067 5.7067
5.7067 5.7067 3.1252
5.7067 3.1252 5.7067
8.2881 5.7067 5.7067
3.1252 5.7067 5.7067
5.7067 8.2881 5.7067
5.7067 5.7067 8.2881
```


No. 6
The following is a PBE-GGA calculation of crystalline Rb2BaTeBr6 at its relaxed geometry, from Alexandria.

Computed properties:
DFT total energy = -2.928 eV/atom
Energy relative to the elements, uncorrected = -1.2245 eV/atom
Total moment = 2.00 Bohr magnetons per cell
Fermi-level density of states = 0.0000 states/eV/atom

```
Rb2BaTeBr6
1.0
-4.5160 4.5160 5.8735
4.5160 -4.5160 5.8735
4.5160 4.5160 -5.8735
Rb Ba Te Br
2 1 1 6
Cartesian
4.5160 0.0000 2.9368
0.0000 4.5160 2.9368
0.0000 0.0000 0.0000
0.0000 0.0000 5.8735
2.2213 2.2213 0.0000
2.2947 -2.2947 5.8735
0.0000 0.0000 3.1754
0.0000 0.0000 8.5716
-2.2947 2.2947 5.8735
2.2947 2.2947 5.8735
```


No. 7
The following is a PBE-GGA calculation of crystalline RbBaTeBr2 at its relaxed geometry, from Alexandria.

Computed properties:
DFT total energy = -3.230 eV/atom
Energy relative to the elements, uncorrected = -1.3548 eV/atom
Total moment = 1.00 Bohr magnetons per cell
Fermi-level density of states = 2.0489 states/eV/atom

```
RbBaTeBr2
1.0
6.3076 0.0000 0.0000
0.0000 6.3076 0.0000
0.0000 0.0000 6.8492
Rb Ba Te Br
1 1 1 2
Cartesian
0.0000 0.0000 0.0000
3.1538 3.1538 3.4246
3.1538 3.1538 0.0000
0.0000 3.1538 3.4246
3.1538 0.0000 3.4246
```


No. 8
The following is a PBE-GGA calculation of crystalline Rb2BaTiBr8 at its relaxed geometry, from Alexandria.

Computed properties:
DFT total energy = -3.658 eV/atom
Energy relative to the elements, uncorrected = -1.5632 eV/atom
Total moment = 0.00 Bohr magnetons per cell

```
Rb2BaTiBr8
1.0
6.5797 0.0000 0.0000
3.1999 7.9514 0.0000
0.0147 0.0099 9.4002
Rb Ba Ti Br
2 1 1 8
Cartesian
0.0325 0.0117 2.2315
9.7619 7.9497 7.1687
4.8972 3.9807 4.7001
4.8898 3.9757 0.0000
0.8560 2.0725 4.7115
2.8050 5.3209 0.0151
3.9191 2.4593 7.5756
3.9243 2.4407 1.8299
5.8700 5.5207 7.5703
5.8752 5.5020 1.8247
6.9893 2.6404 9.3851
8.9383 5.8888 4.6888
```


No. 9
The following is a PBE-GGA calculation of crystalline Rb2BaTlBr6 at its relaxed geometry, from Alexandria.

Computed properties:
DFT total energy = -3.056 eV/atom
Energy relative to the elements, uncorrected = -1.4301 eV/atom
Total moment = 0.00 Bohr magnetons per cell
Fermi-level density of states = 0.8702 states/eV/atom

```
Rb2BaTlBr6
1.0
-4.3199 4.3199 6.1008
4.3199 -4.3199 6.1008
4.3199 4.3199 -6.1008
Rb Ba Tl Br
2 1 1 6
Cartesian
4.3199 0.0000 3.0504
0.0000 4.3199 3.0504
0.0000 0.0000 0.0000
0.0000 0.0000 6.1008
0.0000 0.0000 3.1416
2.2228 2.2228 0.0000
2.0971 -2.0971 6.1008
-2.0971 2.0971 6.1008
0.0000 0.0000 9.0601
2.0971 2.0971 6.1008
```


No. 10
The following is a PBE-GGA calculation of crystalline RbBa2TlBr at its relaxed geometry, from Alexandria.

Computed properties:
DFT total energy = -2.297 eV/atom
Energy relative to the elements, uncorrected = -0.5265 eV/atom
Total moment = 1.12 Bohr magnetons per cell
Fermi-level density of states = 0.5954 states/eV/atom

```
RbBa2TlBr
1.0
6.4151 0.0000 0.0000
0.0000 6.4151 0.0000
0.0000 0.0000 6.3064
Rb Ba Tl Br
1 2 1 1
Cartesian
0.0000 0.0000 0.0000
0.0000 3.2076 3.1532
3.2076 0.0000 3.1532
3.2076 3.2076 0.0000
0.0000 0.0000 3.1532
```